A relaxed structure of CaSc2Re, computed with GGA-PBE.

The structure belongs to space group P4/mmm (No. 123); the cell edges are 4.599, 4.599 and 4.038 Å and the angles 90.00°, 90.00° and 90.00°. The inequivalent atoms are Ca at (0.000, 0.000, 0.000), Sc at (0.000, 0.500, 0.500) and Re at (0.500, 0.500, 0.000).

The density of states at the Fermi level comes out at 5.37 states/eV/cell. The magnetic moment is 0.0 μB/f.u. The value obtained for the final energy is -25.504 eV/f.u.